Entry 1:
Computed, not measured: a geometry-optimized LaTm2Mg6 structure at the PBE level of DFT.

Cell and atoms, written as POSCAR:
```
LaTm2Mg6
1.0
9.1156 0.0000 0.0000
-4.5578 7.8944 0.0000
0.0000 0.0000 3.3167
La Tm Mg
1 2 6
Cartesian
0.0000 0.0000 0.0000
0.0000 5.2629 0.0000
4.5578 2.6314 0.0000
-1.5444 2.6750 1.6584
-3.0134 5.2194 1.6584
3.0888 0.0000 1.6584
1.5444 2.6750 1.6584
6.0268 0.0000 1.6584
3.0134 5.2194 1.6584
```

=====

Entry 2:
Computed, not measured: a geometry-optimized LaTm3Mg2 structure at the PBE level of DFT.

Cell and atoms, written as POSCAR:
```
LaTm3Mg2
1.0
3.6608 0.0000 0.0000
0.0000 3.6608 0.0000
0.0000 0.0000 12.9722
La Tm Mg
1 3 2
Cartesian
0.0000 0.0000 0.0000
1.8304 1.8304 2.5457
1.8304 1.8304 6.4861
1.8304 1.8304 10.4266
0.0000 0.0000 4.5386
0.0000 0.0000 8.4336
```

=====

Entry 3:
PBE La2TmMg, optimized geometry; energy above the lowest structure with this stoichiometry = 0 meV per atom
1.0
3.8206 0.0000 0.0000
0.0000 3.8206 0.0000
0.0000 0.0000 8.9317
La Tm Mg
2 1 1
Cartesian
0.0000 0.0000 2.0981
0.0000 0.0000 6.8336
1.9103 1.9103 4.4658
1.9103 1.9103 0.0000

=====

Ordered formation energy from the elements results: -0.067, -0.024, -0.022; unit eV per atom.
Ordered final energy results: -2.671, -3.612, -4.002; unit eV/atom.
Ordered total magnetic moment results: 0.11, 0.00, 0.00; unit μB/f.u..